1.
A geometry-optimized HfTi2GaC structure, computed with PBE.

size of the total moment	0.00	μB per formula unit
energy of formation	-583	meV/atom

abc: 4.183 4.183 4.435
angles: 90.00 90.00 90.00
Space group P4/mmm (No. 123)
Inequivalent atoms, fractional coordinates:
Hf 0.000 0.000 0.000 (multiplicity 1)
Ti 0.000 0.500 0.500 (multiplicity 2)
Ga 0.500 0.500 0.000 (multiplicity 1)
C 0.000 0.000 0.500 (multiplicity 1)

---

2.
A geometry-optimized HfV2GaC structure, computed with PBE.

size of the total moment	0.00	μB per formula unit
energy of formation	-361	meV/atom

abc: 3.994 3.994 4.471
angles: 90.00 90.00 90.00
Space group P4/mmm (No. 123)
Inequivalent atoms, fractional coordinates:
Hf 0.000 0.000 0.000 (multiplicity 1)
V 0.000 0.500 0.500 (multiplicity 2)
Ga 0.500 0.500 0.000 (multiplicity 1)
C 0.000 0.000 0.500 (multiplicity 1)